CaSb2Se | GGA-PBE | optimized geometry

As for the spin magnetization: 0.00 μB/f.u. The calculation puts the volume at 28.278 Å³ per atom. The value obtained for the uncorrected formation energy is -47.5 kJ/mol of atoms. For the density of states at the Fermi level, the calculation gives 1.80 states/eV/f.u.

The space group is Imm2 (No. 44) and the conventional cell measures 4.215, 4.841 and 11.087 Å, with angles of 90.00, 90.00 and 90.00 degrees. The asymmetric unit holds Ca at (0.000, 0.000, 0.000), Sb at (0.000, 0.000, 0.568), Sb at (0.000, 0.500, 0.255) and Se at (0.000, 0.500, 0.845).